[1]
The following is a DFT calculation (PBEsol) of Sr2BeTe after structural relaxation.

Cell lengths 6.3567, 6.3567, 4.8102 Å; angles 96.55, 96.55, 39.53 degrees
Sites, in units of the cell vectors:
Sr 0.0000 0.0000 0.0000
Sr 0.7184 0.7184 0.5512
Be 0.4540 0.4540 0.4613
Te 0.2859 0.2859 0.0831

## Properties
Space group ... No. 8
Formation energy from raw total energies ... -9.49 kcal/mol of atoms
Raw total energy ... -12.853 eV per cell
E above lowest polymorph ... 26 meV per atom

[2]
The following is a DFT calculation (PBEsol) of SrBeTe2 after structural relaxation.

Cell lengths 6.6687, 6.6687, 6.6687 Å; angles 112.45, 112.45, 103.67 degrees
Sites, in units of the cell vectors:
Sr 0.0000 0.0000 0.0000
Sr 0.7500 0.2500 0.5000
Be 0.2500 0.7500 0.5000
Be 0.5000 0.5000 0.0000
Te 0.2126 0.6250 0.0876
Te 0.3750 0.4626 0.5876
Te 0.5374 0.1250 0.9124
Te 0.8750 0.7874 0.4124

## Properties
Space group ... No. 122
Formation energy from raw total energies ... -20.55 kcal/mol of atoms
Raw total energy ... -32.913 eV per cell

[3]
The following is a DFT calculation (PBEsol) of Sr2BeTe after structural relaxation.

Cell lengths 5.5001, 5.5001, 5.5001 Å; angles 60.00, 60.00, 60.00 degrees
Sites, in units of the cell vectors:
Sr 0.2500 0.2500 0.2500
Sr 0.7500 0.7500 0.7500
Be 0.0000 0.0000 0.0000
Te 0.5000 0.5000 0.5000

## Properties
Space group ... No. 225
Formation energy from raw total energies ... -6.13 kcal/mol of atoms
Raw total energy ... -12.270 eV per cell
E above lowest polymorph ... 172 meV per atom

[4]
The following is a DFT calculation (PBEsol) of SrBeTe2 after structural relaxation.

Cell lengths 6.6826, 6.6826, 4.8066 Å; angles 93.68, 93.68, 35.77 degrees
Sites, in units of the cell vectors:
Sr 0.0000 0.0000 0.0000
Be 0.7204 0.7204 0.7727
Te 0.2850 0.2850 0.9834
Te 0.5609 0.5609 0.5097

## Properties
Space group ... No. 8
Formation energy from raw total energies ... -18.88 kcal/mol of atoms
Raw total energy ... -16.168 eV per cell